No. 1
{
  "formula": "AcHf2N",
  "functional": "PBE-GGA",
  "state": "optimized geometry",
  "energy_ev_per_cell": -102.99,
  "vol_a3_per_fu": 87.4,
  "lattice": [[3.3382, 0.0000, 0.0000], [-1.6691, 2.8910, 0.0000], [0.0000, 0.0000, 27.1610]],
  "species": ["Ac", "Ac", "Ac", "Hf", "Hf", "Hf", "Hf", "Hf", "Hf", "N", "N", "N"],
  "fractional_positions": [[0.0000, 0.0000, 0.0000], [0.3333, 0.6667, 0.6667], [0.6667, 0.3333, 0.3333], [0.0000, 0.0000, 0.1233], [0.0000, 0.0000, 0.8767], [0.3333, 0.6667, 0.5434], [0.3333, 0.6667, 0.7899], [0.6667, 0.3333, 0.2101], [0.6667, 0.3333, 0.4566], [0.0000, 0.0000, 0.5000], [0.3333, 0.6667, 0.1667], [0.6667, 0.3333, 0.8333]]
}


No. 2
{
  "formula": "VFe4Ni",
  "functional": "PBE-GGA",
  "state": "optimized geometry",
  "e_form_mev_per_atom": 52,
  "energy_ev_per_cell": -48.44,
  "vol_a3_per_fu": 68.1,
  "lattice": [[3.9906, 0.0000, 0.0000], [-1.9953, 3.4559, 0.0000], [0.0000, 0.0000, 4.9354]],
  "species": ["V", "Fe", "Fe", "Fe", "Fe", "Ni"],
  "fractional_positions": [[0.0000, 0.0000, 0.0000], [0.3333, 0.6667, 0.2504], [0.3333, 0.6667, 0.7496], [0.6667, 0.3333, 0.2504], [0.6667, 0.3333, 0.7496], [0.0000, 0.0000, 0.5000]]
}


No. 3
{
  "formula": "PuBiTe",
  "functional": "PBE-GGA",
  "state": "optimized geometry",
  "energy_ev_per_cell": -22.17,
  "vol_a3_per_fu": 93.1,
  "lattice": [[5.2041, 0.0000, 0.0000], [-2.6021, 4.5069, 0.0000], [0.0000, 0.0000, 3.9714]],
  "species": ["Pu", "Bi", "Te"],
  "fractional_positions": [[0.0000, 0.0000, 0.0000], [0.3333, 0.6667, 0.5014], [0.6667, 0.3333, 0.0035]]
}


No. 4
{
  "formula": "AcEr2Zn2Ge2",
  "functional": "PBE-GGA",
  "state": "optimized geometry",
  "e_form_mev_per_atom": -414,
  "energy_ev_per_cell": -27.92,
  "vol_a3_per_fu": 175.4,
  "lattice": [[2.0961, 1.2102, 11.5224], [-2.0961, 1.2102, 11.5224], [0.0000, -2.4204, 11.5224]],
  "species": ["Ac", "Er", "Er", "Zn", "Zn", "Ge", "Ge"],
  "fractional_positions": [[0.0000, 0.0000, 0.0000], [0.1265, 0.1265, 0.1265], [0.8735, 0.8735, 0.8735], [0.3986, 0.3986, 0.3986], [0.6014, 0.6014, 0.6014], [0.2582, 0.2582, 0.2582], [0.7418, 0.7418, 0.7418]]
}